Computed, not measured: Re2RhCl at its PBEsol-relaxed geometry at the SCAN level of DFT.

- Calculated density: 15.13 g cm⁻³
- Energy above the most stable polymorph in this dataset: 104 kJ/mol of formula units
- Formation energy (no corrections): 85.2 kJ/mol of atoms
- Total magnetization: 0.00 μB per cell
- Final energy: -180.41 eV per formula unit

Cell and atoms, written as CIF:
```
data_Re2RhCl
_chemical_formula_sum 'Re4 Rh2 Cl2'
_cell_length_a 2.818
_cell_length_b 4.495
_cell_length_c 8.850
_cell_angle_alpha 90.00
_cell_angle_beta 90.00
_cell_angle_gamma 90.00
_symmetry_space_group_name_H-M 'I m m 2'
_symmetry_Int_Tables_number 44
_symmetry_space_group_name_Hall 'I 2 -2'
loop_
_atom_site_label
_atom_site_type_symbol
_atom_site_fract_x
_atom_site_fract_y
_atom_site_fract_z
_atom_site_occupancy
Re1 Re 0.000 0.000 0.000 1
Re2 Re 0.000 0.500 0.242 1
Rh1 Rh 0.000 0.000 0.470 1
Cl1 Cl 0.000 0.500 0.726 1
```